Record 1
Crystalline ScTc2P at its relaxed geometry. Source: the Alexandria database, functional PBEsol.

Cell lengths 3.6755, 3.6755, 4.3036 Å; angles 90.00, 90.00, 90.00 degrees
Closest atoms and distances in Å follow each position.
Fractional coordinates of all 4 atoms:
Sc 0.0000 0.0000 0.5000  4 P 2.60, 8 Tc 2.83
Tc 0.5000 0.0000 0.0000  4 Tc 2.60, 4 Sc 2.83, 4 P 2.83
Tc 0.0000 0.5000 0.0000  4 Tc 2.60, 4 Sc 2.83, 4 P 2.83
P 0.5000 0.5000 0.5000  4 Sc 2.60, 8 Tc 2.83

Results
Raw total energy in eV/atom: -8.97
Energy of formation in eV/atom: -0.243


Record 2
Crystalline Hf2BiPW at its relaxed geometry. Source: the Alexandria database, functional PBEsol.

Cell lengths 5.0271, 5.0271, 5.1173 Å; angles 90.00, 90.00, 90.00 degrees
Closest atoms and distances in Å follow each position.
Fractional coordinates of all 5 atoms:
W 0.0000 0.0000 0.0000  4 Hf 2.51, 2 Bi 2.56
Hf 0.5000 0.0000 0.0000  2 W 2.51
Hf 0.0000 0.5000 0.0000  2 W 2.51
Bi 0.0000 0.0000 0.5000  2 W 2.56
P 0.5000 0.5000 0.5000  4 Bi 3.55, 8 Hf 3.59

Results
Raw total energy in eV/atom: -7.86
Energy of formation in eV/atom: 1.117


Record 3
Crystalline YSb2PdC at its relaxed geometry. Source: the Alexandria database, functional PBEsol.

Cell lengths 4.6461, 4.6024, 4.6024 Å; angles 90.00, 90.00, 90.00 degrees
Closest atoms and distances in Å follow each position.
Fractional coordinates of all 5 atoms:
Y 0.5000 0.0000 0.0000  2 C 2.32
Pd 0.5000 0.5000 0.5000  4 Y 3.25, 8 Sb 3.27
C 0.0000 0.0000 0.0000  4 Sb 2.30, 2 Y 2.32
Sb 0.0000 0.0000 0.5000  2 C 2.30
Sb 0.0000 0.5000 0.0000  2 C 2.30

Results
Raw total energy in eV/atom: -6.12


Record 4
Crystalline ScSi3Br at its relaxed geometry. Source: the Alexandria database, functional PBEsol.

Cell lengths 4.8139, 4.8139, 4.8139 Å; angles 90.00, 90.00, 90.00 degrees
Closest atoms and distances in Å follow each position.
Fractional coordinates of all 5 atoms:
Si 0.0000 0.5000 0.0000  2 Br 2.41
Si 0.0000 0.0000 0.5000  2 Br 2.41
Si 0.5000 0.0000 0.0000  2 Br 2.41
Br 0.0000 0.0000 0.0000  6 Si 2.41
Sc 0.5000 0.5000 0.5000  12 Si 3.40

Results
E above lowest polymorph in eV/atom: 0.0211
Raw total energy in eV/atom: -4.17


Q: Number 1 is which compound?
A: ScTc2P